No. 1
# Ac2TbPm6 (PBE, optimized geometry)
data_Ac2TbPm6
_chemical_formula_sum 'Ac8 Tb4 Pm24'
_cell_length_a 15.624
_cell_length_b 10.182
_cell_length_c 9.283
_cell_angle_alpha 90.00
_cell_angle_beta 117.91
_cell_angle_gamma 90.00
_symmetry_space_group_name_H-M 'C 1 2/c 1'
_symmetry_Int_Tables_number 15
_symmetry_space_group_name_Hall '-C 2yc'
loop_
_atom_site_label
_atom_site_type_symbol
_atom_site_fract_x
_atom_site_fract_y
_atom_site_fract_z
Ac1 Ac 0.094 0.077 0.181
Tb1 Tb 0.000 0.259 0.750
Pm1 Pm 0.082 0.419 0.164
Pm2 Pm 0.164 0.257 0.580
Pm3 Pm 0.238 0.409 0.983
# Energy ... -162.17 eV per cell
# N(E_F) ... 1.49 states/eV/atom
# V ... 1304.9 Å³/cell

---

No. 2
# K2ZnRu (PBE, optimized geometry)
data_K2ZnRu
_chemical_formula_sum 'K4 Zn2 Ru2'
_cell_length_a 5.889
_cell_length_b 10.950
_cell_length_c 2.921
_cell_angle_alpha 90.00
_cell_angle_beta 90.69
_cell_angle_gamma 90.00
_symmetry_space_group_name_H-M 'C 1 2/m 1'
_symmetry_Int_Tables_number 12
_symmetry_space_group_name_Hall '-C 2y'
loop_
_atom_site_label
_atom_site_type_symbol
_atom_site_fract_x
_atom_site_fract_y
_atom_site_fract_z
K1 K 0.250 0.250 0.000
Zn1 Zn 0.000 0.000 0.500
Ru1 Ru 0.000 0.500 0.500
# Energy ... -18.02 eV per cell
# N(E_F) ... 0.64 states/eV/atom
# V ... 188.3 Å³/cell

---

No. 3
# MnCdP2Cl (PBE, optimized geometry)
data_MnCdP2Cl
_chemical_formula_sum 'Mn1 Cd1 P2 Cl1'
_cell_length_a 4.322
_cell_length_b 4.322
_cell_length_c 5.321
_cell_angle_alpha 90.00
_cell_angle_beta 90.00
_cell_angle_gamma 90.00
_symmetry_space_group_name_H-M 'P 4/m m m'
_symmetry_Int_Tables_number 123
_symmetry_space_group_name_Hall '-P 4 2'
loop_
_atom_site_label
_atom_site_type_symbol
_atom_site_fract_x
_atom_site_fract_y
_atom_site_fract_z
Mn1 Mn 0.000 0.000 0.000
Cd1 Cd 0.500 0.500 0.500
P1 P 0.000 0.500 0.000
Cl1 Cl 0.000 0.000 0.500
# Energy ... -21.86 eV per cell
# N(E_F) ... 0.62 states/eV/atom
# V ... 99.4 Å³/cell
# ΔE_f (raw) ... 0.9 eV per formula unit

---

No. 4
# InCuSn2Bi (PBE, optimized geometry)
data_InCuSn2Bi
_chemical_formula_sum 'In1 Cu1 Sn2 Bi1'
_cell_length_a 5.186
_cell_length_b 5.186
_cell_length_c 5.092
_cell_angle_alpha 90.00
_cell_angle_beta 90.00
_cell_angle_gamma 90.00
_symmetry_space_group_name_H-M 'P 4/m m m'
_symmetry_Int_Tables_number 123
_symmetry_space_group_name_Hall '-P 4 2'
loop_
_atom_site_label
_atom_site_type_symbol
_atom_site_fract_x
_atom_site_fract_y
_atom_site_fract_z
In1 In 0.000 0.000 0.000
Cu1 Cu 0.000 0.000 0.500
Sn1 Sn 0.000 0.500 0.500
Bi1 Bi 0.500 0.500 0.000
# Energy ... -17.89 eV per cell
# N(E_F) ... 0.61 states/eV/atom
# V ... 136.9 Å³/cell

---

No. 5
# Na2ZnSn2 (PBE, optimized geometry)
data_Na2ZnSn2
_chemical_formula_sum 'Na4 Zn2 Sn4'
_cell_length_a 7.199
_cell_length_b 7.199
_cell_length_c 5.170
_cell_angle_alpha 90.00
_cell_angle_beta 90.00
_cell_angle_gamma 90.00
_symmetry_space_group_name_H-M 'P 4/m b m'
_symmetry_Int_Tables_number 127
_symmetry_space_group_name_Hall '-P 4 2ab'
loop_
_atom_site_label
_atom_site_type_symbol
_atom_site_fract_x
_atom_site_fract_y
_atom_site_fract_z
Na1 Na 0.165 0.335 0.000
Zn1 Zn 0.000 0.000 0.500
Sn1 Sn 0.145 0.645 0.500
# Energy ... -24.88 eV per cell
# N(E_F) ... 0.41 states/eV/atom
# V ... 267.9 Å³/cell

---

No. 6
# NaCa2Zn (PBE, optimized geometry)
data_NaCa2Zn
_chemical_formula_sum 'Na1 Ca2 Zn1'
_cell_length_a 3.710
_cell_length_b 3.781
_cell_length_c 8.962
_cell_angle_alpha 90.00
_cell_angle_beta 90.00
_cell_angle_gamma 90.00
_symmetry_space_group_name_H-M 'P m m m'
_symmetry_Int_Tables_number 47
_symmetry_space_group_name_Hall '-P 2 2'
loop_
_atom_site_label
_atom_site_type_symbol
_atom_site_fract_x
_atom_site_fract_y
_atom_site_fract_z
Na1 Na 0.000 0.000 0.000
Ca1 Ca 0.500 0.500 0.304
Zn1 Zn 0.000 0.000 0.500
# Energy ... -7.03 eV per cell
# N(E_F) ... 0.66 states/eV/atom
# V ... 125.7 Å³/cell